A relaxed MgAlAs crystal, computed with PBE.

Its formation energy from the elements is 0.05 eV per atom.

Cell and atoms, written as CIF:
```
data_MgAlAs
_chemical_formula_sum 'Mg4 Al4 As4'
_cell_length_a 6.451
_cell_length_b 6.451
_cell_length_c 6.451
_cell_angle_alpha 90.00
_cell_angle_beta 90.00
_cell_angle_gamma 90.00
_space_group_name_H-M_alt 'F -4 3 m'
_space_group_IT_number 216
_space_group_name_Hall 'F -4 2 3'
loop_
_atom_site_label
_atom_site_type_symbol
_atom_site_fract_x
_atom_site_fract_y
_atom_site_fract_z
Mg1 Mg 0.000 0.000 0.000
Al1 Al 0.250 0.250 0.750
As1 As 0.250 0.250 0.250
```

A relaxed BeFeCoC crystal, computed with PBE.

Its formation energy from the elements is 0.41 eV per atom.

Cell and atoms, written as CIF:
```
data_BeFeCoC
_chemical_formula_sum 'Be4 Fe4 Co4 C4'
_cell_length_a 5.002
_cell_length_b 5.002
_cell_length_c 5.002
_cell_angle_alpha 90.00
_cell_angle_beta 90.00
_cell_angle_gamma 90.00
_space_group_name_H-M_alt 'F -4 3 m'
_space_group_IT_number 216
_space_group_name_Hall 'F -4 2 3'
loop_
_atom_site_label
_atom_site_type_symbol
_atom_site_fract_x
_atom_site_fract_y
_atom_site_fract_z
Be1 Be 0.000 0.000 0.000
Fe1 Fe 0.250 0.250 0.750
Co1 Co 0.250 0.250 0.250
C1 C 0.000 0.000 0.500
```

A relaxed Nd4DyTm6 crystal, computed with PBE.

Its formation energy from the elements is 0.30 eV per atom. Its distance to the lowest polymorph of the same formula is 0 meV per atom.

Cell and atoms, written as CIF:
```
data_Nd4DyTm6
_chemical_formula_sum 'Nd8 Dy2 Tm12'
_cell_length_a 6.632
_cell_length_b 6.632
_cell_length_c 16.907
_cell_angle_alpha 90.00
_cell_angle_beta 90.00
_cell_angle_gamma 90.00
_space_group_name_H-M_alt 'I -4 2 m'
_space_group_IT_number 121
_space_group_name_Hall 'I -4 2'
loop_
_atom_site_label
_atom_site_type_symbol
_atom_site_fract_x
_atom_site_fract_y
_atom_site_fract_z
Nd1 Nd 0.190 0.190 0.175
Dy1 Dy 0.000 0.000 0.000
Tm1 Tm 0.000 0.500 0.000
Tm2 Tm 0.178 0.178 0.376
```

A relaxed Ac2BiPdS5 crystal, computed with PBE.

The electronic total energy comes out at -5.50 eV/atom.

Cell and atoms, written as CIF:
```
data_Ac2BiPdS5
_chemical_formula_sum 'Ac8 Bi4 Pd4 S20'
_cell_length_a 4.049
_cell_length_b 17.483
_cell_length_c 12.428
_cell_angle_alpha 90.00
_cell_angle_beta 90.00
_cell_angle_gamma 90.00
_space_group_name_H-M_alt 'C m c 21'
_space_group_IT_number 36
loop_
_space_group_symop_operation_xyz
'x,y,z'
'-x,-y,z+1/2'
'-x,y,z'
'x,-y,z+1/2'
'x+1/2,y+1/2,z'
'-x+1/2,-y+1/2,z+1/2'
'-x+1/2,y+1/2,z'
'x+1/2,-y+1/2,z+1/2'
loop_
_atom_site_label
_atom_site_type_symbol
_atom_site_fract_x
_atom_site_fract_y
_atom_site_fract_z
Ac1 Ac 0.000 0.119 0.000
Ac2 Ac 0.000 0.120 0.623
Bi1 Bi 0.000 0.187 0.314
Pd1 Pd 0.000 0.482 0.792
S1 S 0.000 0.034 0.390
S2 S 0.000 0.296 0.972
S3 S 0.000 0.297 0.648
S4 S 0.000 0.348 0.313
S5 S 0.000 0.494 0.601
```

A relaxed CaTl2Re crystal, computed with PBE.

Its formation energy from the elements is 0.68 eV per atom. Its distance to the lowest polymorph of the same formula is 150 meV per atom.

Cell and atoms, written as CIF:
```
data_CaTl2Re
_chemical_formula_sum 'Ca1 Tl2 Re1'
_cell_length_a 4.577
_cell_length_b 4.577
_cell_length_c 4.338
_cell_angle_alpha 90.00
_cell_angle_beta 90.00
_cell_angle_gamma 90.00
_space_group_name_H-M_alt 'P 4/m m m'
_space_group_IT_number 123
_space_group_name_Hall '-P 4 2'
loop_
_atom_site_label
_atom_site_type_symbol
_atom_site_fract_x
_atom_site_fract_y
_atom_site_fract_z
Ca1 Ca 0.000 0.000 0.000
Tl1 Tl 0.000 0.500 0.500
Re1 Re 0.500 0.500 0.000
```

A relaxed ErTiCuOs crystal, computed with PBE.

Its formation energy from the elements is -0.22 eV per atom.

Cell and atoms, written as CIF:
```
data_ErTiCuOs
_chemical_formula_sum 'Er4 Ti4 Cu4 Os4'
_cell_length_a 6.499
_cell_length_b 6.499
_cell_length_c 6.499
_cell_angle_alpha 90.00
_cell_angle_beta 90.00
_cell_angle_gamma 90.00
_space_group_name_H-M_alt 'F -4 3 m'
_space_group_IT_number 216
_space_group_name_Hall 'F -4 2 3'
loop_
_atom_site_label
_atom_site_type_symbol
_atom_site_fract_x
_atom_site_fract_y
_atom_site_fract_z
Er1 Er 0.000 0.000 0.000
Ti1 Ti 0.000 0.000 0.500
Cu1 Cu 0.250 0.250 0.250
Os1 Os 0.250 0.250 0.750
```

A relaxed Te2AsBr crystal, computed with PBE.

Its distance to the lowest polymorph of the same formula is 545 meV per atom.

Cell and atoms, written as CIF:
```
data_Te2AsBr
_chemical_formula_sum 'Te2 As1 Br1'
_cell_length_a 5.123
_cell_length_b 5.123
_cell_length_c 3.865
_cell_angle_alpha 90.00
_cell_angle_beta 90.00
_cell_angle_gamma 90.00
_space_group_name_H-M_alt 'P 4/m m m'
_space_group_IT_number 123
_space_group_name_Hall '-P 4 2'
loop_
_atom_site_label
_atom_site_type_symbol
_atom_site_fract_x
_atom_site_fract_y
_atom_site_fract_z
Te1 Te 0.000 0.500 0.000
As1 As 0.000 0.000 0.500
Br1 Br 0.500 0.500 0.500
```

A relaxed LiAg2Br3 crystal, computed with PBE.

The electronic total energy comes out at -2.85 eV/atom.

Cell and atoms, written as CIF:
```
data_LiAg2Br3
_chemical_formula_sum 'Li4 Ag8 Br12'
_cell_length_a 7.525
_cell_length_b 13.105
_cell_length_c 7.552
_cell_angle_alpha 90.00
_cell_angle_beta 109.34
_cell_angle_gamma 90.00
_space_group_name_H-M_alt 'C 1 c 1'
_space_group_IT_number 9
loop_
_space_group_symop_operation_xyz
'x,y,z'
'x,-y,z+1/2'
'x+1/2,y+1/2,z'
'x+1/2,-y+1/2,z+1/2'
loop_
_atom_site_label
_atom_site_type_symbol
_atom_site_fract_x
_atom_site_fract_y
_atom_site_fract_z
Li1 Li 0.000 0.082 0.000
Ag1 Ag 0.001 0.243 0.497
Ag2 Ag 0.498 0.083 0.499
Br1 Br 0.114 0.073 0.359
Br2 Br 0.118 0.241 0.880
Br3 Br 0.140 0.414 0.381
```

A relaxed Si3Ni crystal, computed with PBE.

The electronic total energy comes out at -5.24 eV/atom.

Cell and atoms, written as CIF:
```
data_Si3Ni
_chemical_formula_sum 'Si6 Ni2'
_cell_length_a 5.2674
_cell_length_b 5.2674
_cell_length_c 4.4123
_cell_angle_alpha 90.00
_cell_angle_beta 90.00
_cell_angle_gamma 120.00
_space_group_name_H-M_alt 'P 63/m m c'
_space_group_IT_number 194
_space_group_name_Hall '-P 6c 2c'
loop_
_atom_site_label
_atom_site_type_symbol
_atom_site_fract_x
_atom_site_fract_y
_atom_site_fract_z
Si1 Si 0.1712 0.3425 0.2500
Ni1 Ni 0.3333 0.6667 0.7500
```

A relaxed K4CdAg2 crystal, computed with PBE.

Its formation energy from the elements is 0.02 eV per atom.

Cell and atoms, written as CIF:
```
data_K4CdAg2
_chemical_formula_sum 'K8 Cd2 Ag4'
_cell_length_a 8.362
_cell_length_b 8.362
_cell_length_c 9.754
_cell_angle_alpha 73.28
_cell_angle_beta 73.28
_cell_angle_gamma 71.86
_space_group_name_H-M_alt 'P 1'
_space_group_IT_number 1
loop_
_space_group_symop_operation_xyz
'x,y,z'
loop_
_atom_site_label
_atom_site_type_symbol
_atom_site_fract_x
_atom_site_fract_y
_atom_site_fract_z
K1 K 0.000 0.000 0.000
K2 K 0.003 0.003 0.483
K3 K 0.447 0.961 0.141
K4 K 0.454 0.973 0.635
K5 K 0.486 0.486 0.999
K6 K 0.490 0.490 0.495
K7 K 0.961 0.447 0.142
K8 K 0.973 0.454 0.635
Cd1 Cd 0.790 0.789 0.848
Cd2 Cd 0.790 0.790 0.346
Ag1 Ag 0.159 0.659 0.288
Ag2 Ag 0.282 0.283 0.850
Ag3 Ag 0.293 0.293 0.344
Ag4 Ag 0.659 0.159 0.288
```

A relaxed Sn2Hg2P crystal, computed with PBE.

Its formation energy from the elements is 0.02 eV per atom. Its distance to the lowest polymorph of the same formula is 0 meV per atom.

Cell and atoms, written as CIF:
```
data_Sn2Hg2P
_chemical_formula_sum 'Sn6 Hg6 P3'
_cell_length_a 3.9378
_cell_length_b 3.9378
_cell_length_c 28.7833
_cell_angle_alpha 90.00
_cell_angle_beta 90.00
_cell_angle_gamma 120.00
_space_group_name_H-M_alt 'R -3 m'
_space_group_IT_number 166
_space_group_name_Hall '-R 3 2"'
loop_
_atom_site_label
_atom_site_type_symbol
_atom_site_fract_x
_atom_site_fract_y
_atom_site_fract_z
Sn1 Sn 0.0000 0.0000 0.1107
Hg1 Hg 0.0000 0.0000 0.2981
P1 P 0.0000 0.0000 0.5000
```

A relaxed NiIrI3 crystal, computed with PBE.

Its distance to the lowest polymorph of the same formula is 0 meV per atom.

Cell and atoms, written as CIF:
```
data_NiIrI3
_chemical_formula_sum 'Ni1 Ir1 I3'
_cell_length_a 5.413
_cell_length_b 5.413
_cell_length_c 5.413
_cell_angle_alpha 90.00
_cell_angle_beta 90.00
_cell_angle_gamma 90.00
_space_group_name_H-M_alt 'P m -3 m'
_space_group_IT_number 221
_space_group_name_Hall '-P 4 2 3'
loop_
_atom_site_label
_atom_site_type_symbol
_atom_site_fract_x
_atom_site_fract_y
_atom_site_fract_z
Ni1 Ni 0.000 0.000 0.000
Ir1 Ir 0.500 0.500 0.500
I1 I 0.000 0.500 0.500
```

A relaxed La2CuReC crystal, computed with PBE.

Its formation energy from the elements is -0.01 eV per atom.

Cell and atoms, written as CIF:
```
data_La2CuReC
_chemical_formula_sum 'La2 Cu1 Re1 C1'
_cell_length_a 5.298
_cell_length_b 5.298
_cell_length_c 3.959
_cell_angle_alpha 90.00
_cell_angle_beta 90.00
_cell_angle_gamma 90.00
_space_group_name_H-M_alt 'P 4/m m m'
_space_group_IT_number 123
_space_group_name_Hall '-P 4 2'
loop_
_atom_site_label
_atom_site_type_symbol
_atom_site_fract_x
_atom_site_fract_y
_atom_site_fract_z
La1 La 0.000 0.500 0.000
Cu1 Cu 0.000 0.000 0.500
Re1 Re 0.500 0.500 0.500
C1 C 0.500 0.500 0.000
```

A relaxed Ba2MgNbBi crystal, computed with PBE.

Its formation energy from the elements is 0.76 eV per atom.

Cell and atoms, written as CIF:
```
data_Ba2MgNbBi
_chemical_formula_sum 'Ba2 Mg1 Nb1 Bi1'
_cell_length_a 6.191
_cell_length_b 6.191
_cell_length_c 5.216
_cell_angle_alpha 90.00
_cell_angle_beta 90.00
_cell_angle_gamma 90.00
_space_group_name_H-M_alt 'P 4/m m m'
_space_group_IT_number 123
_space_group_name_Hall '-P 4 2'
loop_
_atom_site_label
_atom_site_type_symbol
_atom_site_fract_x
_atom_site_fract_y
_atom_site_fract_z
Ba1 Ba 0.000 0.500 0.000
Mg1 Mg 0.000 0.000 0.000
Nb1 Nb 0.000 0.000 0.500
Bi1 Bi 0.500 0.500 0.500
```

A relaxed NpPb2O8 crystal, computed with PBE.

The electronic total energy comes out at -6.70 eV/atom.

Cell and atoms, written as CIF:
```
data_NpPb2O8
_chemical_formula_sum 'Np2 Pb4 O16'
_cell_length_a 11.755
_cell_length_b 3.479
_cell_length_c 9.372
_cell_angle_alpha 90.00
_cell_angle_beta 104.40
_cell_angle_gamma 90.00
_space_group_name_H-M_alt 'C 1 2/m 1'
_space_group_IT_number 12
loop_
_space_group_symop_operation_xyz
'x,y,z'
'-x,-y,-z'
'-x,y,-z'
'x,-y,z'
'x+1/2,y+1/2,z'
'-x+1/2,-y+1/2,-z'
'-x+1/2,y+1/2,-z'
'x+1/2,-y+1/2,z'
loop_
_atom_site_label
_atom_site_type_symbol
_atom_site_fract_x
_atom_site_fract_y
_atom_site_fract_z
Np1 Np 0.000 0.000 0.000
Pb1 Pb 0.135 0.500 0.391
O1 O 0.016 0.000 0.391
O2 O 0.065 0.500 0.139
O3 O 0.131 0.000 0.937
O4 O 0.247 0.500 0.623
```

A relaxed I2Br crystal, computed with PBE.

Its distance to the lowest polymorph of the same formula is 13 meV per atom.

Cell and atoms, written as CIF:
```
data_I2Br
_chemical_formula_sum 'I4 Br2'
_cell_length_a 5.090
_cell_length_b 5.115
_cell_length_c 12.588
_cell_angle_alpha 86.39
_cell_angle_beta 83.48
_cell_angle_gamma 78.59
_space_group_name_H-M_alt 'P 1'
_space_group_IT_number 1
loop_
_space_group_symop_operation_xyz
'x,y,z'
loop_
_atom_site_label
_atom_site_type_symbol
_atom_site_fract_x
_atom_site_fract_y
_atom_site_fract_z
I1 I 0.000 0.000 0.000
I2 I 0.007 0.408 0.502
I3 I 0.186 0.609 0.161
I4 I 0.601 0.556 0.676
Br1 Br 0.377 0.254 0.325
Br2 Br 0.826 0.753 0.838
```

A relaxed Na2Cu5Si2Ag crystal, computed with PBE.

The electronic total energy comes out at -3.61 eV/atom.

Cell and atoms, written as CIF:
```
data_Na2Cu5Si2Ag
_chemical_formula_sum 'Na4 Cu10 Si4 Ag2'
_cell_length_a 10.708
_cell_length_b 10.708
_cell_length_c 2.793
_cell_angle_alpha 90.00
_cell_angle_beta 90.00
_cell_angle_gamma 90.00
_space_group_name_H-M_alt 'P 4/m b m'
_space_group_IT_number 127
_space_group_name_Hall '-P 4 2ab'
loop_
_atom_site_label
_atom_site_type_symbol
_atom_site_fract_x
_atom_site_fract_y
_atom_site_fract_z
Na1 Na 0.176 0.324 0.000
Cu1 Cu 0.000 0.500 0.500
Cu2 Cu 0.060 0.798 0.500
Si1 Si 0.129 0.629 0.000
Ag1 Ag 0.000 0.000 0.000
```

A relaxed Lu5Be crystal, computed with PBE.

Its formation energy from the elements is 0.19 eV per atom.

Cell and atoms, written as CIF:
```
data_Lu5Be
_chemical_formula_sum 'Lu10 Be2'
_cell_length_a 4.641
_cell_length_b 14.260
_cell_length_c 4.655
_cell_angle_alpha 90.00
_cell_angle_beta 90.00
_cell_angle_gamma 90.00
_space_group_name_H-M_alt 'C m m m'
_space_group_IT_number 65
_space_group_name_Hall '-C 2 2'
loop_
_atom_site_label
_atom_site_type_symbol
_atom_site_fract_x
_atom_site_fract_y
_atom_site_fract_z
Lu1 Lu 0.000 0.000 0.000
Lu2 Lu 0.000 0.158 0.500
Lu3 Lu 0.000 0.336 0.000
Be1 Be 0.000 0.500 0.500
```

A relaxed CaSc5S6 crystal, computed with PBE.

The electronic total energy comes out at -6.76 eV/atom.

Cell and atoms, written as CIF:
```
data_CaSc5S6
_chemical_formula_sum 'Ca2 Sc10 S12'
_cell_length_a 6.468
_cell_length_b 11.205
_cell_length_c 6.487
_cell_angle_alpha 90.00
_cell_angle_beta 109.44
_cell_angle_gamma 90.00
_space_group_name_H-M_alt 'C 1 2/m 1'
_space_group_IT_number 12
loop_
_space_group_symop_operation_xyz
'x,y,z'
'-x,-y,-z'
'-x,y,-z'
'x,-y,z'
'x+1/2,y+1/2,z'
'-x+1/2,-y+1/2,-z'
'-x+1/2,y+1/2,-z'
'x+1/2,-y+1/2,z'
loop_
_atom_site_label
_atom_site_type_symbol
_atom_site_fract_x
_atom_site_fract_y
_atom_site_fract_z
Ca1 Ca 0.000 0.000 0.000
Sc1 Sc 0.000 0.162 0.500
Sc2 Sc 0.000 0.334 0.000
Sc3 Sc 0.000 0.500 0.500
S1 S 0.242 0.500 0.253
S2 S 0.243 0.329 0.743
```

A relaxed HgB2F crystal, computed with PBE.

Its distance to the lowest polymorph of the same formula is 0 meV per atom.

Cell and atoms, written as CIF:
```
data_HgB2F
_chemical_formula_sum 'Hg4 B8 F4'
_cell_length_a 3.341
_cell_length_b 3.341
_cell_length_c 20.518
_cell_angle_alpha 90.00
_cell_angle_beta 90.00
_cell_angle_gamma 90.00
_space_group_name_H-M_alt 'I 41/a m d'
_space_group_IT_number 141
loop_
_space_group_symop_operation_xyz
'x,y,z'
'-x,-y,-z'
'-y+1/4,x+3/4,z+1/4'
'y+1/4,-x+3/4,-z+1/4'
'-x+1/2,-y,z+1/2'
'x+1/2,y,-z+1/2'
'y+1/4,-x+1/4,z+3/4'
'-y+1/4,x+1/4,-z+3/4'
'x,-y,-z'
'-x,y,z'
'-y+1/4,-x+1/4,-z+3/4'
'y+1/4,x+1/4,z+3/4'
'-x+1/2,y,-z+1/2'
'x+1/2,-y,z+1/2'
'y+1/4,x+3/4,-z+1/4'
'-y+1/4,-x+3/4,z+1/4'
'x+1/2,y+1/2,z+1/2'
'-x+1/2,-y+1/2,-z+1/2'
'-y+3/4,x+1/4,z+3/4'
'y+3/4,-x+1/4,-z+3/4'
'-x,-y+1/2,z'
'x,y+1/2,-z'
'y+3/4,-x+3/4,z+1/4'
'-y+3/4,x+3/4,-z+1/4'
'x+1/2,-y+1/2,-z+1/2'
'-x+1/2,y+1/2,z+1/2'
'-y+3/4,-x+3/4,-z+1/4'
'y+3/4,x+3/4,z+1/4'
'-x,y+1/2,-z'
'x,-y+1/2,z'
'y+3/4,x+1/4,-z+3/4'
'-y+3/4,-x+1/4,z+3/4'
loop_
_atom_site_label
_atom_site_type_symbol
_atom_site_fract_x
_atom_site_fract_y
_atom_site_fract_z
Hg1 Hg 0.000 0.250 0.375
B1 B 0.000 0.000 0.000
F1 F 0.000 0.250 0.875
```

Number 1: V 22.37 Å³ per atom. Number 2: V 7.82 Å³ per atom. Number 3: V 33.80 Å³ per atom. Number 4: V 24.44 Å³ per atom. Number 5: V 22.72 Å³ per atom. Number 6: V 17.15 Å³ per atom. Number 7: V 25.36 Å³ per atom. Number 8: V 29.28 Å³ per atom. Number 9: V 13.25 Å³ per atom. Number 10: V 43.28 Å³ per atom. Number 11: V 25.77 Å³ per atom. Number 12: V 31.71 Å³ per atom. Number 13: V 22.23 Å³ per atom. Number 14: V 39.98 Å³ per atom. Number 15: V 16.88 Å³ per atom. Number 16: V 53.15 Å³ per atom. Number 17: V 16.01 Å³ per atom. Number 18: V 25.68 Å³ per atom. Number 19: V 18.47 Å³ per atom. Number 20: V 14.31 Å³ per atom.